Model w:
First-principles (PBE-GGA) data for a relaxed structure of InAg2Hg, as listed in Alexandria.

a b c (Å): 3.416 3.416 7.292
angles (deg): 90.00 90.00 90.00
Space group P4mm (No. 99)
One atom of each set of equivalent atoms:
1 In 0.000 0.000 0.000
2 Ag 0.000 0.000 0.462
3 Ag 0.500 0.500 0.245
4 Hg 0.500 0.500 0.705

## Properties
N(E_F) = 0.282 states/eV/atom
total magnetization = 0.00 μB per formula unit
calculated volume = 21.27 Å³/atom



Model x:
First-principles (PBE-GGA) data for a relaxed structure of InAg2Hg, as listed in Alexandria.

a b c (Å): 4.275 4.357 4.416
angles (deg): 90.00 90.00 90.00
Space group Pmmm (No. 47)
One atom of each set of equivalent atoms:
1 In 0.000 0.000 0.000
2 Ag 0.500 0.000 0.500
3 Ag 0.500 0.500 0.000
4 Hg 0.000 0.500 0.500

## Properties
N(E_F) = 0.403 states/eV/atom
total magnetization = 0.00 μB per formula unit
calculated volume = 20.56 Å³/atom



Model y:
First-principles (PBE-GGA) data for a relaxed structure of InAg2Hg, as listed in Alexandria.

a b c (Å): 3.176 5.469 9.806
angles (deg): 90.00 90.00 90.00
Space group Cmmm (No. 65)
One atom of each set of equivalent atoms:
1 In 0.000 0.000 0.000
2 Ag 0.000 0.500 0.250
3 Hg 0.000 0.000 0.500

## Properties
N(E_F) = 0.471 states/eV/atom
total magnetization = 0.00 μB per formula unit
calculated volume = 21.29 Å³/atom



Which is the most stable structure? model x is the most stable.



Model w:
First-principles (PBE-GGA) data for a relaxed structure of InAg2Hg, as listed in Alexandria.

a b c (Å): 3.071 4.404 6.159
angles (deg): 90.00 94.64 90.00
Space group P2/m (No. 10)
One atom of each set of equivalent atoms:
1 In 0.000 0.000 0.000
2 Ag 0.499 0.500 0.249
3 Hg 0.000 0.000 0.500

## Properties
N(E_F) = 0.372 states/eV/atom
total magnetization = 0.00 μB per formula unit
calculated volume = 20.76 Å³/atom



Model x:
First-principles (PBE-GGA) data for a relaxed structure of InAg2Hg, as listed in Alexandria.

a b c (Å): 6.917 6.917 6.917
angles (deg): 90.00 90.00 90.00
Space group F-43m (No. 216)
One atom of each set of equivalent atoms:
1 In 0.000 0.000 0.000
2 Ag 0.000 0.000 0.500
3 Ag 0.250 0.250 0.250
4 Hg 0.250 0.250 0.750

## Properties
N(E_F) = 0.483 states/eV/atom
total magnetization = 0.00 μB per formula unit
calculated volume = 20.68 Å³/atom



Which is the most stable structure? model w is the most stable.



Model w:
First-principles (PBE-GGA) data for a relaxed structure of InAg2Hg, as listed in Alexandria.

a b c (Å): 3.2559 3.2559 28.0518
angles (deg): 90.00 90.00 120.00
Space group R3m (No. 160, hexagonal axes)
One atom of each set of equivalent atoms:
1 In 0.0000 0.0000 0.0000
2 Ag 0.0000 0.0000 0.2509
3 Ag 0.0000 0.0000 0.5063
4 Hg 0.0000 0.0000 0.7571

## Properties
N(E_F) = 0.372 states/eV/atom
total magnetization = 0.00 μB per formula unit
calculated volume = 21.46 Å³/atom



Model x:
First-principles (PBE-GGA) data for a relaxed structure of InAg2Hg, as listed in Alexandria.

a b c (Å): 4.379 4.379 8.588
angles (deg): 90.00 90.00 90.00
Space group I4/mmm (No. 139)
One atom of each set of equivalent atoms:
1 In 0.000 0.000 0.000
2 Ag 0.000 0.500 0.250
3 Hg 0.000 0.000 0.500

## Properties
N(E_F) = 0.296 states/eV/atom
total magnetization = 0.00 μB per formula unit
calculated volume = 20.58 Å³/atom



Model y:
First-principles (PBE-GGA) data for a relaxed structure of InAg2Hg, as listed in Alexandria.

a b c (Å): 6.435 5.124 10.190
angles (deg): 90.00 90.08 90.00
Space group P2/c (No. 13)
One atom of each set of equivalent atoms:
1 In 0.146 0.054 0.374
2 Ag 0.388 0.435 0.877
3 Ag 0.389 0.064 0.123
4 Hg 0.144 0.446 0.626

## Properties
N(E_F) = 0.246 states/eV/atom
total magnetization = 0.00 μB per formula unit
calculated volume = 21.00 Å³/atom



Model z:
First-principles (PBE-GGA) data for a relaxed structure of InAg2Hg, as listed in Alexandria.

a b c (Å): 3.368 5.221 9.567
angles (deg): 90.00 90.00 90.00
Space group Immm (No. 71)
One atom of each set of equivalent atoms:
1 In 0.000 0.000 0.000
2 Ag 0.000 0.500 0.251
3 Hg 0.000 0.000 0.500

## Properties
N(E_F) = 0.338 states/eV/atom
total magnetization = 0.00 μB per formula unit
calculated volume = 21.03 Å³/atom



Which is the most stable structure? model y is the most stable.



Model w:
First-principles (PBE-GGA) data for a relaxed structure of InAgHg, as listed in Alexandria.

a b c (Å): 8.819 6.895 5.726
angles (deg): 90.00 127.30 90.00
Space group Cc (No. 9)
One atom of each set of equivalent atoms:
1 In 0.000 0.158 0.000
2 Ag 0.338 0.003 0.082
3 Hg 0.189 0.352 0.679

## Properties
N(E_F) = 0.350 states/eV/atom
total magnetization = 0.00 μB per formula unit
calculated volume = 23.08 Å³/atom



Model x:
First-principles (PBE-GGA) data for a relaxed structure of InAgHg, as listed in Alexandria.

a b c (Å): 3.297 3.297 12.535
angles (deg): 90.00 90.00 90.00
Space group I4mm (No. 107)
One atom of each set of equivalent atoms:
1 In 0.000 0.000 0.000
2 Ag 0.000 0.000 0.655
3 Hg 0.000 0.000 0.312

## Properties
N(E_F) = 0.216 states/eV/atom
total magnetization = 0.00 μB per formula unit
calculated volume = 22.71 Å³/atom



Model y:
First-principles (PBE-GGA) data for a relaxed structure of InAgHg, as listed in Alexandria.

a b c (Å): 4.6968 4.6968 3.6735
angles (deg): 90.00 90.00 120.00
Space group P3m1 (No. 156)
One atom of each set of equivalent atoms:
1 In 0.0000 0.0000 0.0000
2 Ag 0.6667 0.3333 0.3183
3 Hg 0.3333 0.6667 0.6035

## Properties
N(E_F) = 0.463 states/eV/atom
total magnetization = 0.00 μB per formula unit
calculated volume = 23.39 Å³/atom



Which is the most stable structure? model w is the most stable.



Model w:
First-principles (PBE-GGA) data for a relaxed structure of InAgHg, as listed in Alexandria.

a b c (Å): 4.334 5.183 6.856
angles (deg): 71.80 89.41 69.90
Space group P-1 (No. 2)
One atom of each set of equivalent atoms:
1 In 0.179 0.154 0.109
2 Ag 0.160 0.171 0.574
3 Hg 0.476 0.515 0.728

## Properties
N(E_F) = 0.252 states/eV/atom
total magnetization = 0.00 μB per formula unit
calculated volume = 22.76 Å³/atom



Model x:
First-principles (PBE-GGA) data for a relaxed structure of InAgHg, as listed in Alexandria.

a b c (Å): 6.726 6.726 6.726
angles (deg): 90.00 90.00 90.00
Space group F-43m (No. 216)
One atom of each set of equivalent atoms:
1 In 0.000 0.000 0.000
2 Ag 0.250 0.250 0.250
3 Hg 0.000 0.000 0.500

## Properties
N(E_F) = 0.927 states/eV/atom
total magnetization = 0.00 μB per formula unit
calculated volume = 25.36 Å³/atom



Model y:
First-principles (PBE-GGA) data for a relaxed structure of InAgHg, as listed in Alexandria.

a b c (Å): 3.677 5.346 14.193
angles (deg): 90.00 90.00 90.00
Space group Fmm2 (No. 42)
One atom of each set of equivalent atoms:
1 In 0.000 0.000 0.000
2 Ag 0.000 0.000 0.340
3 Hg 0.000 0.000 0.680

## Properties
N(E_F) = 0.189 states/eV/atom
total magnetization = 0.00 μB per formula unit
calculated volume = 23.25 Å³/atom



Model z:
First-principles (PBE-GGA) data for a relaxed structure of InAgHg, as listed in Alexandria.

a b c (Å): 3.3476 3.3476 7.0014
angles (deg): 90.00 90.00 120.00
Space group P3m1 (No. 156)
One atom of each set of equivalent atoms:
1 In 0.0000 0.0000 0.0000
2 Ag 0.6667 0.3333 0.3193
3 Hg 0.3333 0.6667 0.6404

## Properties
N(E_F) = 0.123 states/eV/atom
total magnetization = 0.00 μB per formula unit
calculated volume = 22.65 Å³/atom



Which is the most stable structure? model z is the most stable.



Model w:
First-principles (PBE-GGA) data for a relaxed structure of InAgHg, as listed in Alexandria.

a b c (Å): 3.931 3.945 8.749
angles (deg): 90.00 90.00 90.00
Space group Imm2 (No. 44)
One atom of each set of equivalent atoms:
1 In 0.000 0.000 0.000
2 Ag 0.000 0.000 0.334
3 Hg 0.000 0.000 0.668

## Properties
N(E_F) = 0.423 states/eV/atom
total magnetization = 0.00 μB per formula unit
calculated volume = 22.61 Å³/atom



Model x:
First-principles (PBE-GGA) data for a relaxed structure of InAgHg, as listed in Alexandria.

a b c (Å): 15.372 3.295 5.497
angles (deg): 90.00 90.00 90.00
Space group Amm2 (No. 38)
One atom of each set of equivalent atoms:
1 In 0.193 0.000 0.000
2 Ag 0.346 0.000 0.340
3 Hg 0.000 0.000 0.989
4 Hg 0.500 0.000 0.680

## Properties
N(E_F) = 0.353 states/eV/atom
total magnetization = 0.00 μB per formula unit
calculated volume = 23.21 Å³/atom



Which is the most stable structure? model w is the most stable.



Model w:
First-principles (PBE-GGA) data for a relaxed structure of In2Ag5Hg2, as listed in Alexandria.

a b c (Å): 3.117 7.569 8.117
angles (deg): 75.35 78.97 89.91
Space group P-1 (No. 2)
One atom of each set of equivalent atoms:
1 In 0.091 0.339 0.318
2 Ag 0.239 0.661 0.021
3 Ag 0.424 0.333 0.651
4 Ag 0.500 0.000 0.500
5 Hg 0.165 0.996 0.170

## Properties
N(E_F) = 0.211 states/eV/atom
total magnetization = 0.00 μB per formula unit
calculated volume = 20.18 Å³/atom



Model x:
First-principles (PBE-GGA) data for a relaxed structure of In2Ag5Hg2, as listed in Alexandria.

a b c (Å): 8.894 4.571 9.270
angles (deg): 90.00 90.00 90.00
Space group Amm2 (No. 38)
One atom of each set of equivalent atoms:
1 In 0.193 0.000 0.000
2 Ag 0.162 0.000 0.689
3 Ag 0.335 0.000 0.287
4 Ag 0.500 0.000 0.891
5 Hg 0.000 0.000 0.360
6 Hg 0.500 0.000 0.585

## Properties
N(E_F) = 0.374 states/eV/atom
total magnetization = 0.00 μB per formula unit
calculated volume = 20.94 Å³/atom



Which is the most stable structure? model w is the most stable.



Model w:
First-principles (PBE-GGA) data for a relaxed structure of In3Ag3Hg, as listed in Alexandria.

a b c (Å): 10.082 9.633 6.575
angles (deg): 90.00 93.43 90.00
Space group C2/m (No. 12)
One atom of each set of equivalent atoms:
1 In 0.000 0.197 0.000
2 In 0.000 0.255 0.500
3 In 0.159 0.500 0.996
4 Ag 0.079 0.000 0.701
5 Ag 0.243 0.260 0.243
6 Hg 0.186 0.500 0.538

## Properties
N(E_F) = 0.321 states/eV/atom
total magnetization = 0.00 μB per formula unit
calculated volume = 22.77 Å³/atom



Model x:
First-principles (PBE-GGA) data for a relaxed structure of In3Ag3Hg, as listed in Alexandria.

a b c (Å): 7.799 7.799 7.799
angles (deg): 90.00 90.00 90.00
Space group Pm-3n (No. 223)
One atom of each set of equivalent atoms:
1 In 0.000 0.250 0.500
2 Ag 0.000 0.500 0.250
3 Hg 0.000 0.000 0.000

## Properties
N(E_F) = 0.733 states/eV/atom
total magnetization = 0.00 μB per formula unit
calculated volume = 33.89 Å³/atom



Which is the most stable structure? model w is the most stable.



Model w:
First-principles (PBE-GGA) data for a relaxed structure of In2AgHg4, as listed in Alexandria.

a b c (Å): 3.463 3.467 16.171
angles (deg): 89.28 89.26 64.29
Space group P1 (No. 1)
One atom of each set of equivalent atoms:
1 In 0.000 0.000 0.000
2 In 0.027 0.035 0.701
3 Ag 0.046 0.046 0.427
4 Hg 0.356 0.352 0.151
5 Hg 0.361 0.373 0.850
6 Hg 0.689 0.692 0.556
7 Hg 0.705 0.705 0.296

## Properties
N(E_F) = 0.229 states/eV/atom
total magnetization = 0.00 μB per formula unit
calculated volume = 24.99 Å³/atom



Model x:
First-principles (PBE-GGA) data for a relaxed structure of In2AgHg4, as listed in Alexandria.

a b c (Å): 5.501 5.501 14.631
angles (deg): 90.00 90.00 90.00
Space group I4/mmm (No. 139)
One atom of each set of equivalent atoms:
1 In 0.000 0.000 0.109
2 Ag 0.000 0.000 0.500
3 Hg 0.000 0.000 0.308
4 Hg 0.000 0.500 0.000

## Properties
N(E_F) = 0.534 states/eV/atom
total magnetization = 0.00 μB per formula unit
calculated volume = 31.63 Å³/atom



Which is the most stable structure? model w is the most stable.



Model w:
First-principles (PBE-GGA) data for a relaxed structure of InAgHg4, as listed in Alexandria.

a b c (Å): 9.685 10.529 5.979
angles (deg): 90.00 97.94 90.00
Space group C2/c (No. 15)
One atom of each set of equivalent atoms:
1 In 0.000 0.062 0.250
2 Ag 0.000 0.485 0.250
3 Hg 0.107 0.276 0.563
4 Hg 0.248 0.401 0.045

## Properties
N(E_F) = 0.300 states/eV/atom
total magnetization = 0.00 μB per formula unit
calculated volume = 25.16 Å³/atom



Model x:
First-principles (PBE-GGA) data for a relaxed structure of InAgHg4, as listed in Alexandria.

a b c (Å): 8.528 8.528 8.528
angles (deg): 90.00 90.00 90.00
Space group F-43m (No. 216)
One atom of each set of equivalent atoms:
1 In 0.000 0.000 0.000
2 Ag 0.250 0.250 0.750
3 Hg 0.125 0.125 0.375

## Properties
N(E_F) = 0.561 states/eV/atom
total magnetization = 0.00 μB per formula unit
calculated volume = 25.84 Å³/atom



Which is the most stable structure? model w is the most stable.